[1]
{
  "formula": "TbPm2Nd6Y3",
  "functional": "GGA-PBE",
  "state": "relaxed",
  "lattice_angstrom": [[6.318, -0.001, 0.005], [-3.158, 5.471, 0.005], [-1.061, -1.837, 11.803]],
  "species": ["Pm", "Pm", "Nd", "Nd", "Nd", "Nd", "Nd", "Nd", "Tb", "Y", "Y", "Y"],
  "frac_coords": [[0.667, 0.333, 0.000], [0.333, 0.667, 0.000], [0.084, 0.417, 0.251], [0.249, 0.249, 0.748], [0.751, 0.751, 0.252], [0.916, 0.583, 0.749], [0.417, 0.084, 0.251], [0.583, 0.916, 0.749], [0.000, 0.000, 0.000], [0.500, 0.500, 0.500], [0.167, 0.833, 0.500], [0.833, 0.167, 0.500]],
  "density_g_cm3": 6.43,
  "total_energy_ev_per_atom": -5.1673,
  "ef_ev_per_atom": 0.01
}

[2]
{
  "formula": "TbPm2Nd3Y6",
  "functional": "GGA-PBE",
  "state": "relaxed",
  "lattice_angstrom": [[-0.888, 0.400, -6.189], [3.598, -4.554, 2.359], [-10.277, -5.568, 2.167]],
  "species": ["Tb", "Pm", "Pm", "Y", "Y", "Y", "Y", "Y", "Y", "Nd", "Nd", "Nd"],
  "frac_coords": [[0.000, 0.000, 0.000], [0.333, 0.667, 0.000], [0.667, 0.333, 0.000], [0.416, 0.083, 0.249], [0.750, 0.750, 0.249], [0.584, 0.917, 0.751], [0.917, 0.584, 0.751], [0.083, 0.416, 0.249], [0.250, 0.250, 0.751], [0.500, 0.500, 0.500], [0.167, 0.833, 0.500], [0.833, 0.167, 0.500]],
  "density_g_cm3": 5.91,
  "total_energy_ev_per_atom": -5.5904,
  "ef_ev_per_atom": 0.01
}

[3]
{
  "formula": "Tb3PmNd6Y2",
  "functional": "GGA-PBE",
  "state": "relaxed",
  "lattice_angstrom": [[-5.093, 2.456, 2.783], [-0.637, -3.512, -5.194], [0.877, -9.313, 7.457]],
  "species": ["Nd", "Nd", "Nd", "Nd", "Nd", "Nd", "Y", "Y", "Tb", "Tb", "Tb", "Pm"],
  "frac_coords": [[0.084, 0.417, 0.251], [0.751, 0.751, 0.251], [0.583, 0.916, 0.749], [0.916, 0.583, 0.749], [0.417, 0.084, 0.251], [0.249, 0.249, 0.749], [0.333, 0.667, 0.000], [0.667, 0.333, 0.000], [0.167, 0.833, 0.500], [0.500, 0.500, 0.500], [0.833, 0.167, 0.500], [0.000, 0.000, 0.000]],
  "density_g_cm3": 6.82,
  "total_energy_ev_per_atom": -5.0045,
  "ef_ev_per_atom": 0.01
}

[4]
{
  "formula": "TbPmNdZn",
  "functional": "GGA-PBE",
  "state": "relaxed",
  "lattice_angstrom": [[-1.357, 1.922, -2.773], [-2.600, -2.501, -0.461], [-5.191, 4.370, 5.570]],
  "species": ["Pm", "Nd", "Tb", "Zn"],
  "frac_coords": [[0.500, 0.500, 0.777], [0.000, 0.000, 0.077], [0.500, 0.500, 0.368], [0.000, 0.000, 0.563]],
  "density_g_cm3": 7.35,
  "polymorph_energy_mev_per_atom": 0,
  "total_energy_ev_per_atom": -4.0145,
  "ef_ev_per_atom": -0.16
}

[5]
{
  "formula": "TbPmNdZn",
  "functional": "GGA-PBE",
  "state": "relaxed",
  "lattice_angstrom": [[5.440, 0.000, 0.000], [2.720, 4.711, 0.000], [2.720, 1.570, 4.442]],
  "species": ["Nd", "Zn", "Pm", "Tb"],
  "frac_coords": [[0.250, 0.250, 0.250], [0.000, 0.000, 0.000], [0.500, 0.500, 0.500], [0.750, 0.750, 0.750]],
  "density_g_cm3": 7.49,
  "polymorph_energy_mev_per_atom": 231,
  "total_energy_ev_per_atom": -3.7832,
  "ef_ev_per_atom": 0.07
}

[6]
{
  "formula": "PmNdTc",
  "functional": "GGA-PBE",
  "state": "relaxed",
  "lattice_angstrom": [[-2.327, 4.159, 1.707], [-5.357, -2.717, -0.681], [1.262, -1.467, 5.294]],
  "species": ["Nd", "Nd", "Pm", "Pm", "Tc", "Tc"],
  "frac_coords": [[0.750, 0.701, 0.925], [0.250, 0.299, 0.075], [0.250, 0.824, 0.477], [0.750, 0.176, 0.523], [0.250, 0.405, 0.608], [0.750, 0.595, 0.392]],
  "density_g_cm3": 7.59,
  "polymorph_energy_mev_per_atom": 90,
  "total_energy_ev_per_atom": -6.4409,
  "ef_ev_per_atom": 0.19
}